[1]
{
  "formula": "Tb2Y3HoS6",
  "functional": "PBE",
  "state": "relaxed",
  "energy_ev_per_fu": -82.00,
  "formation_energy_uncorrected_ev_per_atom": -2.0008,
  "lattice_angstrom": [[3.383, -5.884, 0.000], [3.383, 5.884, 0.000], [-2.261, 0.000, 6.392]],
  "species": ["Tb", "Tb", "Y", "Y", "Y", "Ho", "S", "S", "S", "S", "S", "S"],
  "frac_coords": [[0.167, 0.833, 0.000], [0.833, 0.167, 0.000], [0.000, 0.000, 0.500], [0.332, 0.668, 0.500], [0.668, 0.332, 0.500], [0.500, 0.500, 0.000], [0.086, 0.417, 0.751], [0.253, 0.253, 0.250], [0.417, 0.086, 0.751], [0.583, 0.914, 0.249], [0.747, 0.747, 0.750], [0.914, 0.583, 0.249]]
}

[2]
{
  "formula": "DySc2Tl2",
  "functional": "PBE",
  "state": "relaxed",
  "relative_energy_ev_per_fu": 0.00,
  "energy_ev_per_fu": -23.27,
  "e_form_ev_per_atom": -0.254,
  "lattice_angstrom": [[2.509, 1.449, 5.830], [-2.509, 1.449, 5.830], [0.000, -2.898, 5.830]],
  "species": ["Dy", "Sc", "Sc", "Tl", "Tl"],
  "frac_coords": [[0.000, 0.000, 0.000], [0.206, 0.206, 0.206], [0.794, 0.794, 0.794], [0.412, 0.412, 0.412], [0.588, 0.588, 0.588]]
}

[3]
{
  "formula": "NaSrEu",
  "functional": "PBE",
  "state": "relaxed",
  "relative_energy_ev_per_fu": 0.10,
  "energy_ev_per_fu": -13.00,
  "e_form_ev_per_atom": 0.092,
  "lattice_angstrom": [[6.375, 0.000, 0.000], [-3.188, 5.521, 0.000], [0.000, 0.000, 3.989]],
  "species": ["Na", "Sr", "Eu"],
  "frac_coords": [[0.000, 0.000, 0.000], [0.667, 0.333, 0.709], [0.333, 0.667, 0.273]]
}

[4]
{
  "formula": "ZrCu",
  "functional": "PBE",
  "state": "relaxed",
  "energy_ev_per_fu": -12.73,
  "e_form_ev_per_atom": -0.044,
  "lattice_angstrom": [[-1.805, 5.086, 2.954], [1.805, -5.086, 2.954], [1.805, 5.086, -2.954]],
  "species": ["Zr", "Zr", "Zr", "Cu", "Cu", "Cu"],
  "frac_coords": [[0.000, 0.000, 0.000], [0.518, 0.200, 0.318], [0.881, 0.200, 0.682], [0.132, 0.758, 0.374], [0.383, 0.758, 0.626], [0.489, 0.489, 0.000]]
}

[5]
{
  "formula": "La2ZnCu",
  "functional": "PBE",
  "state": "relaxed",
  "energy_ev_per_fu": -15.31,
  "e_form_ev_per_atom": -0.021,
  "lattice_angstrom": [[1.950, 1.126, 8.581], [-1.950, 1.126, 8.581], [0.000, -2.252, 8.581]],
  "species": ["La", "La", "Zn", "Cu"],
  "frac_coords": [[0.245, 0.245, 0.245], [0.755, 0.755, 0.755], [0.000, 0.000, 0.000], [0.500, 0.500, 0.500]]
}

[6]
{
  "formula": "Pd3PbC",
  "functional": "PBE",
  "state": "relaxed",
  "relative_energy_ev_per_fu": 9.70,
  "energy_ev_per_fu": -17.80,
  "e_form_ev_per_atom": 2.142,
  "lattice_angstrom": [[5.096, 0.000, 0.000], [0.000, 5.096, 0.000], [0.000, 0.000, 5.096]],
  "species": ["Pd", "Pd", "Pd", "Pb", "C"],
  "frac_coords": [[0.000, 0.000, 0.500], [0.000, 0.500, 0.000], [0.500, 0.000, 0.000], [0.000, 0.000, 0.000], [0.500, 0.500, 0.500]]
}

[7]
{
  "formula": "CsPaSiO6",
  "functional": "PBE",
  "state": "relaxed",
  "energy_ev_per_fu": -66.21,
  "formation_energy_uncorrected_ev_per_atom": -2.2989,
  "lattice_angstrom": [[5.324, 0.000, 0.000], [-2.662, 4.611, 0.000], [0.000, 0.000, 6.793]],
  "species": ["Cs", "Pa", "Si", "O", "O", "O", "O", "O", "O"],
  "frac_coords": [[0.000, 0.000, 0.000], [0.333, 0.667, 0.500], [0.667, 0.333, 0.500], [0.407, 0.047, 0.656], [0.407, 0.360, 0.344], [0.640, 0.047, 0.344], [0.640, 0.593, 0.656], [0.953, 0.360, 0.656], [0.953, 0.593, 0.344]]
}

[8]
{
  "formula": "Rb5TiO4",
  "functional": "PBE",
  "state": "relaxed",
  "energy_ev_per_fu": -49.51,
  "formation_energy_uncorrected_ev_per_atom": -1.6942,
  "lattice_angstrom": [[8.110, 0.000, 0.000], [0.000, 9.864, 0.000], [0.000, 0.000, 6.542]],
  "species": ["Rb", "Rb", "Rb", "Rb", "Rb", "Rb", "Rb", "Rb", "Rb", "Rb", "Ti", "Ti", "O", "O", "O", "O", "O", "O", "O", "O"],
  "frac_coords": [[0.008, 0.069, 0.250], [0.008, 0.431, 0.250], [0.250, 0.750, 0.244], [0.492, 0.069, 0.250], [0.492, 0.431, 0.250], [0.508, 0.569, 0.750], [0.508, 0.931, 0.750], [0.750, 0.250, 0.756], [0.992, 0.569, 0.750], [0.992, 0.931, 0.750], [0.250, 0.250, 0.769], [0.750, 0.750, 0.231], [0.062, 0.250, 0.605], [0.250, 0.095, 0.931], [0.250, 0.405, 0.931], [0.438, 0.250, 0.605], [0.562, 0.750, 0.395], [0.750, 0.595, 0.069], [0.750, 0.905, 0.069], [0.938, 0.750, 0.395]]
}

Number 1: DOS at the Fermi energy 5.0 states/eV/cell. Number 2: DOS at the Fermi energy 4.0 states/eV/cell. Number 3: DOS at the Fermi energy 13.2 states/eV/cell. Number 4: DOS at the Fermi energy 5.3 states/eV/cell. Number 5: DOS at the Fermi energy 5.1 states/eV/cell. Number 6: DOS at the Fermi energy 5.0 states/eV/cell. Number 7: DOS at the Fermi energy 5.2 states/eV/cell. Number 8: DOS at the Fermi energy 2.8 states/eV/cell.